No. 1
GaNi10P3 PBEsol optimized geometry; total magnetic moment = 0.0000 μB per atom; DOS(E_F) = 20.9 states/eV/cell; calculated formation energy = -0.519 eV per atom; uncorrected energy = -6.396 eV per atom; V = 457.2 Å³/cell; SG = P-3m1 (164)
1.0
7.5203 0.0000 0.0000
-3.7601 6.5127 0.0000
0.0000 0.0000 9.3354
Ga Ni P
3 30 9
Cartesian
0.0000 0.0000 0.0000
0.0000 4.3418 3.3689
3.7601 2.1709 5.9664
0.0000 0.0000 3.5527
0.0000 0.0000 5.7827
-1.2797 2.2166 4.6677
-2.4804 4.2962 4.6677
-1.8141 3.2945 7.0634
0.0000 1.7599 1.8398
-2.2360 5.6328 1.8398
0.0000 2.4136 8.7011
-1.6699 5.3060 8.7011
1.5241 0.8799 7.4955
0.0000 4.3418 0.9527
0.0000 4.3418 5.6976
2.5595 0.0000 4.6677
1.2797 2.2166 4.6677
2.0902 1.2068 0.6343
1.8141 3.2945 7.0634
0.0000 6.4365 7.0634
3.7601 0.0762 2.2720
1.9461 3.2183 2.2720
1.6699 5.3060 8.7011
4.9608 0.0000 4.6677
2.4804 4.2962 4.6677
3.7601 2.1709 3.6377
3.7601 2.1709 8.3827
2.2360 5.6328 1.8398
5.4301 1.2068 0.6343
3.7601 4.0992 0.6343
5.9962 0.8799 7.4955
3.7601 4.7529 7.4955
5.5742 3.2183 2.2720
-1.8801 3.2564 0.0000
0.0000 2.1482 6.4486
-1.8997 5.4386 6.4486
1.8604 1.0741 2.8868
3.7601 0.0000 0.0000
1.8801 3.2564 0.0000
1.8997 5.4386 6.4486
5.6599 1.0741 2.8868
3.7601 4.3645 2.8868

***

No. 2
GaNiP2Ru PBEsol optimized geometry; total magnetic moment = 0.0002 μB per atom; DOS(E_F) = 4.3 states/eV/cell; calculated formation energy = 0.717 eV per atom; uncorrected energy = -5.533 eV per atom; V = 77.5 Å³/cell; SG = P4/mmm (123)
1.0
4.1875 0.0000 0.0000
0.0000 4.1875 0.0000
0.0000 0.0000 4.4177
Ga Ni P Ru
1 1 2 1
Cartesian
0.0000 0.0000 0.0000
0.0000 0.0000 2.2088
0.0000 2.0938 2.2088
2.0938 0.0000 2.2088
2.0938 2.0938 0.0000

***

No. 3
Ga2NiPb2 PBEsol optimized geometry; total magnetic moment = 0.0000 μB per atom; DOS(E_F) = 2.5 states/eV/cell; calculated formation energy = 0.243 eV per atom; uncorrected energy = -3.924 eV per atom; V = 107.4 Å³/cell; SG = I4/mmm (139)
1.0
-1.7545 1.7545 8.7248
1.7545 -1.7545 8.7248
1.7545 1.7545 -8.7248
Ga Ni Pb
2 1 2
Cartesian
1.7545 0.0000 4.3624
0.0000 1.7545 4.3624
0.0000 0.0000 0.0000
0.0000 0.0000 7.1612
0.0000 0.0000 10.2885

***

No. 4
ZnGa2NiPd PBEsol optimized geometry; total magnetic moment = 0.1286 μB per atom; DOS(E_F) = 4.9 states/eV/cell; calculated formation energy = 0.788 eV per atom; uncorrected energy = -3.288 eV per atom; V = 91.9 Å³/cell; SG = P4/mmm (123)
1.0
4.4720 0.0000 0.0000
0.0000 4.4720 0.0000
0.0000 0.0000 4.5951
Zn Ga Ni Pd
1 2 1 1
Cartesian
0.0000 0.0000 0.0000
0.0000 2.2360 0.0000
2.2360 0.0000 0.0000
2.2360 2.2360 2.2975
0.0000 0.0000 2.2975

***

No. 5
Pr3Ga2Ni6 PBEsol optimized geometry; total magnetic moment = 0.0000 μB per atom; DOS(E_F) = 12.5 states/eV/cell; calculated formation energy = -0.445 eV per atom; uncorrected energy = -5.824 eV per atom; V = 356.4 Å³/cell; SG = Im-3m (229)
1.0
-4.4666 4.4666 4.4666
4.4666 -4.4666 4.4666
4.4666 4.4666 -4.4666
Pr Ga Ni
6 4 12
Cartesian
2.5655 0.0000 0.0000
6.3678 0.0000 0.0000
0.0000 2.5655 0.0000
0.0000 0.0000 2.5655
0.0000 6.3678 0.0000
0.0000 0.0000 6.3678
2.2333 2.2333 -2.2333
2.2333 -2.2333 2.2333
-2.2333 2.2333 2.2333
2.2333 2.2333 2.2333
4.4666 1.4511 -1.4511
4.4666 -1.4511 1.4511
4.4666 1.4511 1.4511
1.4511 4.4666 -1.4511
3.0155 3.0155 0.0000
1.4511 -1.4511 4.4666
3.0155 0.0000 3.0155
-1.4511 4.4666 1.4511
1.4511 4.4666 1.4511
-1.4511 1.4511 4.4666
1.4511 1.4511 4.4666
0.0000 3.0155 3.0155

***

No. 6
Pr3Ga2Ni4 PBEsol optimized geometry; total magnetic moment = 0.0000 μB per atom; DOS(E_F) = 6.7 states/eV/cell; calculated formation energy = -0.485 eV per atom; uncorrected energy = -5.692 eV per atom; V = 166.7 Å³/cell; SG = C2/m (12)
1.0
5.0244 -2.0602 0.0000
5.0244 2.0602 0.0000
-1.3354 0.0000 8.0499
Pr Ga Ni
3 2 4
Cartesian
0.0000 0.0000 0.0000
2.9525 0.0000 4.9950
5.7609 0.0000 3.0549
2.9453 0.0000 1.7361
5.7682 0.0000 6.3138
-0.0050 0.0000 5.1269
1.3988 0.0000 7.3628
7.3147 0.0000 0.6871
8.7184 0.0000 2.9230

***

Which of these has the highest total magnetic moment? ZnGa2NiPd